TiTc2Br after structural relaxation. Source: the Alexandria database, functional PBE.

Calculated values
- Energy above the lowest structure with this stoichiometry: 0.640 eV per atom
- Mass density: 6.3 g/cm³
- Formation energy without anion corrections: 1.222 eV/atom

The structure in CIF format:
```
data_TiTc2Br
_chemical_formula_sum 'Ti4 Tc8 Br4'
_symmetry_space_group_name_H-M 'I -4 2 d'
_symmetry_Int_Tables_number 122
_symmetry_space_group_name_Hall 'I -4 2bw'
_cell_length_a 5.994
_cell_length_b 5.994
_cell_length_c 9.446
_cell_angle_alpha 90.00
_cell_angle_beta 90.00
_cell_angle_gamma 90.00
loop_
_atom_site_label
_atom_site_fract_x
_atom_site_fract_y
_atom_site_fract_z
Ti1 0.000 0.000 0.000
Tc1 0.242 0.250 0.625
Br1 0.000 0.000 0.500
```

***

Li8Ag2Pd3 after structural relaxation. Source: the Alexandria database, functional PBE.

Calculated values
- Energy above the lowest structure with this stoichiometry: 0.067 eV per atom
- Mass density: 4.9 g/cm³
- ΔE_f: -2.1 eV per formula unit

The structure in CIF format:
```
data_Li8Ag2Pd3
_chemical_formula_sum 'Li24 Ag6 Pd9'
_symmetry_space_group_name_H-M 'R -3 m'
_symmetry_Int_Tables_number 166
_symmetry_space_group_name_Hall '-R 3 2"'
_cell_length_a 4.9833
_cell_length_b 4.9833
_cell_length_c 27.9604
_cell_angle_alpha 90.00
_cell_angle_beta 90.00
_cell_angle_gamma 120.00
loop_
_atom_site_label
_atom_site_fract_x
_atom_site_fract_y
_atom_site_fract_z
Li1 0.0000 0.0000 0.2221
Li2 0.0008 0.5004 0.2786
Ag1 0.0000 0.0000 0.1347
Pd1 0.0000 0.0000 0.3133
Pd2 0.0000 0.0000 0.5000
```

***

Cs2VAsBr6 after structural relaxation. Source: the Alexandria database, functional PBE.

Calculated values
- Mass density: 4.2 g/cm³
- Formation energy without anion corrections: -0.952 eV/atom

The structure in CIF format:
```
data_Cs2VAsBr6
_chemical_formula_sum 'Cs4 V2 As2 Br12'
_symmetry_space_group_name_H-M 'I 4/m m m'
_symmetry_Int_Tables_number 139
_symmetry_space_group_name_Hall '-I 4 2'
_cell_length_a 7.630
_cell_length_b 7.630
_cell_length_c 11.936
_cell_angle_alpha 90.00
_cell_angle_beta 90.00
_cell_angle_gamma 90.00
loop_
_atom_site_label
_atom_site_fract_x
_atom_site_fract_y
_atom_site_fract_z
Cs1 0.000 0.500 0.250
V1 0.000 0.000 0.000
As1 0.000 0.000 0.500
Br1 0.000 0.000 0.215
Br2 0.249 0.249 0.000
```

***

What is the mass density in the third record? 4.2 g/cm³